Entry 1:
Material: Y2CuOs
Method: DFT, meta-GGA SCAN
State: PBEsol geometry

a = 4.787 Å, b = 4.787 Å, c = 4.787 Å
α = 60.00°, β = 60.00°, γ = 60.00°
Positions (direct):
Y1 0.250 0.250 0.250
Y2 0.750 0.750 0.750
Cu1 0.000 0.000 0.000
Os1 0.500 0.500 0.500

Output
- D(E_F) (states/eV/f.u.) = 2.076
- DFT formation energy (eV/f.u.) = -1.34
- volume (A^3/atom) = 19.39

---

Entry 2:
Material: TaMo2Ir
Method: DFT, meta-GGA SCAN
State: PBEsol geometry

a = 4.867 Å, b = 4.867 Å, c = 4.867 Å
α = 132.11°, β = 132.11°, γ = 70.06°
Positions (direct):
Ta1 0.000 0.000 0.000
Mo1 0.250 0.750 0.500
Mo2 0.500 0.500 0.000
Ir1 0.750 0.250 0.500

Output
- D(E_F) (states/eV/f.u.) = 4.005
- distance to the lowest polymorph of the same formula (meV per atom) = 114
- DFT formation energy (eV/f.u.) = -0.35
- volume (A^3/atom) = 15.56